Entry 1:
Density functional theory data (PBE-GGA) for Pr2SmDy after structural relaxation.

Cell: 5.798 5.798 5.798 Å, 60.00 60.00 60.00°
Sites, in units of the cell vectors:
Sm  0.500  0.500  0.500
Pr  0.250  0.250  0.250
Pr  0.750  0.750  0.750
Dy  0.000  0.000  0.000

Results
Crystal system: cubic
D(E_F), states/eV per atom: 2.048
Energy relative to the lowest polymorph listed for this composition, eV/atom: 0.108
E, eV per atom: -4.6002



Entry 2:
Density functional theory data (PBE-GGA) for Pr2SmDy after structural relaxation.

Cell: 3.655 3.655 12.037 Å, 81.27 81.27 60.00°
Sites, in units of the cell vectors:
Pr  0.749  0.749  0.753
Pr  0.251  0.251  0.247
Dy  0.000  0.000  0.000
Sm  0.500  0.500  0.500

Results
Crystal system: trigonal
D(E_F), states/eV per atom: 1.188
Energy relative to the lowest polymorph listed for this composition, eV/atom: 0.000
E, eV per atom: -4.7081



Entry 3:
Density functional theory data (PBE-GGA) for PrSmDy3 after structural relaxation.

Cell: 3.646 8.629 11.683 Å, 90.00 90.00 102.20°
Sites, in units of the cell vectors:
Pr  0.310  0.121  0.250
Pr  0.690  0.879  0.750
Dy  0.649  0.796  0.250
Dy  0.156  0.812  0.497
Dy  0.844  0.188  0.503
Dy  0.844  0.188  0.997
Dy  0.351  0.204  0.750
Dy  0.156  0.812  0.003
Sm  0.985  0.468  0.250
Sm  0.015  0.532  0.750

Results
Crystal system: orthorhombic
D(E_F), states/eV per atom: 1.564
Energy relative to the lowest polymorph listed for this composition, eV/atom: 0.140
E, eV per atom: -4.3439



Entry 4:
Density functional theory data (PBE-GGA) for Pr3Sm2Dy7 after structural relaxation.

Cell: 3.556 6.393 18.126 Å, 75.78 90.00 90.00°
Sites, in units of the cell vectors:
Pr  0.000  0.113  0.340
Pr  0.000  0.887  0.660
Pr  0.500  0.500  0.000
Sm  0.500  0.382  0.673
Sm  0.500  0.618  0.327
Dy  0.500  0.246  0.500
Dy  0.000  0.564  0.165
Dy  0.000  0.436  0.835
Dy  0.500  0.942  0.835
Dy  0.000  0.000  0.000
Dy  0.500  0.754  0.500
Dy  0.500  0.058  0.165

Results
Crystal system: monoclinic
D(E_F), states/eV per atom: 1.468
E, eV per atom: -4.5813



Entry 5:
Density functional theory data (PBE-GGA) for Pr4Sm2Dy5 after structural relaxation.

Cell: 3.533 9.326 12.620 Å, 111.68 98.05 90.00°
Sites, in units of the cell vectors:
Sm  0.269  0.269  0.539
Sm  0.731  0.731  0.461
Dy  0.146  0.950  0.293
Dy  0.146  0.343  0.293
Dy  0.854  0.657  0.707
Dy  0.500  0.000  0.000
Dy  0.854  0.050  0.707
Pr  0.596  0.596  0.192
Pr  0.000  0.707  0.000
Pr  0.000  0.293  0.000
Pr  0.404  0.404  0.808

Results
Crystal system: orthorhombic
D(E_F), states/eV per atom: 1.398
Energy relative to the lowest polymorph listed for this composition, eV/atom: 0.160
E, eV per atom: -4.4239



Entry 6:
Density functional theory data (PBE-GGA) for PrSm6Dy3 after structural relaxation.

Cell: 6.307 11.097 11.097 Å, 120.24 90.00 90.00°
Sites, in units of the cell vectors:
Sm  0.373  0.529  0.947
Sm  0.873  0.471  0.053
Sm  0.046  0.374  0.291
Sm  0.873  0.947  0.529
Sm  0.373  0.053  0.471
Sm  0.143  0.720  0.280
Sm  0.546  0.626  0.709
Sm  0.882  0.038  0.962
Sm  0.382  0.962  0.038
Sm  0.643  0.280  0.720
Sm  0.046  0.709  0.626
Sm  0.546  0.291  0.374
Dy  0.463  0.941  0.712
Dy  0.083  0.385  0.615
Dy  0.963  0.712  0.941
Dy  0.963  0.059  0.288
Dy  0.463  0.288  0.059
Dy  0.583  0.615  0.385
Pr  0.614  0.804  0.196
Pr  0.114  0.196  0.804

Results
Crystal system: orthorhombic
D(E_F), states/eV per atom: 1.459
Energy relative to the lowest polymorph listed for this composition, eV/atom: 0.022
E, eV per atom: -4.5429



Entry 7:
Density functional theory data (PBE-GGA) for Pr3SmDy5 after structural relaxation.

Cell: 9.607 9.607 11.781 Å, 52.23 52.23 72.72°
Sites, in units of the cell vectors:
Sm  0.843  0.843  0.404
Sm  0.157  0.157  0.596
Pr  0.000  0.000  0.000
Pr  0.698  0.698  0.809
Pr  0.662  0.662  0.361
Pr  0.000  0.000  0.500
Pr  0.338  0.338  0.639
Pr  0.302  0.302  0.191
Dy  0.155  0.654  0.752
Dy  0.845  0.346  0.248
Dy  0.506  0.506  0.776
Dy  0.494  0.494  0.224
Dy  0.257  0.743  0.000
Dy  0.816  0.816  0.960
Dy  0.743  0.257  0.000
Dy  0.184  0.184  0.040
Dy  0.346  0.845  0.248
Dy  0.654  0.155  0.752

Results
Crystal system: monoclinic
D(E_F), states/eV per atom: 1.414
E, eV per atom: -4.1659



Entry 8:
Density functional theory data (PBE-GGA) for Pr2SmDy6 after structural relaxation.

Cell: 3.512 9.836 9.836 Å, 63.64 79.77 79.77°
Sites, in units of the cell vectors:
Pr  0.844  0.656  0.656
Pr  0.156  0.344  0.344
Sm  0.000  0.000  0.000
Dy  0.178  0.989  0.656
Dy  0.822  0.011  0.344
Dy  0.822  0.344  0.011
Dy  0.500  0.689  0.311
Dy  0.178  0.656  0.989
Dy  0.500  0.311  0.689

Results
Crystal system: monoclinic
D(E_F), states/eV per atom: 1.575
Energy relative to the lowest polymorph listed for this composition, eV/atom: 0.000
E, eV per atom: -4.5491



Number 1: energy of formation from the pure elements 0.5 eV per formula unit. Number 2: energy of formation from the pure elements 0.0 eV per formula unit. Number 3: energy of formation from the pure elements 1.6 eV per formula unit. Number 4: energy of formation from the pure elements 1.0 eV per formula unit. Number 5: energy of formation from the pure elements 2.9 eV per formula unit. Number 6: energy of formation from the pure elements 1.5 eV per formula unit. Number 7: energy of formation from the pure elements 4.6 eV per formula unit. Number 8: energy of formation from the pure elements 0.9 eV per formula unit.